(1)
# PBE-GGA YMoW, relaxed
data_YMoW
_chemical_formula_sum 'Y1 Mo1 W1'
_cell_length_a 4.6903
_cell_length_b 4.6903
_cell_length_c 3.0135
_cell_angle_alpha 90.00
_cell_angle_beta 90.00
_cell_angle_gamma 120.00
_symmetry_space_group_name_H-M 'P 3 m 1'
_symmetry_Int_Tables_number 156
loop_
_symmetry_equiv_pos_as_xyz
'x,y,z'
'-y,x-y,z'
'-x+y,-x,z'
'-y,-x,z'
'-x+y,y,z'
'x,x-y,z'
loop_
_atom_site_label
_atom_site_type_symbol
_atom_site_fract_x
_atom_site_fract_y
_atom_site_fract_z
Y1 Y 0.0000 0.0000 0.0000
Mo1 Mo 0.3333 0.6667 0.3589
W1 W 0.6667 0.3333 0.6067
# DFT formation energy ... 1.379 eV/f.u.



(2)
# PBE-GGA YMoW2, relaxed
data_YMoW2
_chemical_formula_sum 'Y2 Mo2 W4'
_cell_length_a 3.212
_cell_length_b 4.762
_cell_length_c 9.556
_cell_angle_alpha 90.00
_cell_angle_beta 90.00
_cell_angle_gamma 90.00
_symmetry_space_group_name_H-M 'I m m m'
_symmetry_Int_Tables_number 71
_symmetry_space_group_name_Hall '-I 2 2'
loop_
_atom_site_label
_atom_site_type_symbol
_atom_site_fract_x
_atom_site_fract_y
_atom_site_fract_z
Y1 Y 0.000 0.000 0.000
Mo1 Mo 0.000 0.000 0.500
W1 W 0.000 0.500 0.233
# DFT formation energy ... 1.618 eV/f.u.



(3)
# PBE-GGA Y2MoW, relaxed
data_Y2MoW
_chemical_formula_sum 'Y4 Mo2 W2'
_cell_length_a 3.543
_cell_length_b 4.795
_cell_length_c 9.854
_cell_angle_alpha 90.00
_cell_angle_beta 90.00
_cell_angle_gamma 90.00
_symmetry_space_group_name_H-M 'C m m m'
_symmetry_Int_Tables_number 65
_symmetry_space_group_name_Hall '-C 2 2'
loop_
_atom_site_label
_atom_site_type_symbol
_atom_site_fract_x
_atom_site_fract_y
_atom_site_fract_z
Y1 Y 0.000 0.000 0.249
Mo1 Mo 0.000 0.500 0.000
W1 W 0.000 0.500 0.500
# DFT formation energy ... 2.658 eV/f.u.



no.,distance to the lowest polymorph of the same formula (meV/atom)
1,341
2,78
3,475